1.
# La4NdAl2 | the Alexandria database | PBE-GGA | relaxed
# Polymorph energy (0 for the lowest one)   0 meV/atom
# Density of states at the Fermi level   0.7270 states/eV per atom
# Energy of formation   -168 meV per atom
data_La4NdAl2
_chemical_formula_sum 'La4 Nd1 Al2'
_symmetry_space_group_name_H-M 'P 1'
_symmetry_Int_Tables_number 1
_cell_length_a 5.4805
_cell_length_b 5.4805
_cell_length_c 9.0008
_cell_angle_alpha 72.28
_cell_angle_beta 72.28
_cell_angle_gamma 60.00
loop_
_symmetry_equiv_pos_as_xyz
'x,y,z'
loop_
_atom_site_label
_atom_site_type_symbol
_atom_site_fract_x
_atom_site_fract_y
_atom_site_fract_z
Nd1 Nd 0.0000 0.0000 0.0000
Al1 Al 0.7227 0.7227 0.8318
Al2 Al 0.2773 0.2773 0.1682
La1 La 0.8492 0.8492 0.4523
La2 La 0.1508 0.1508 0.5477
La3 La 0.5926 0.5926 0.2221
La4 La 0.4074 0.4074 0.7779

=====

2.
# CaIn2Pb | the Alexandria database | PBE-GGA | relaxed
# Density of states at the Fermi level   0.5938 states/eV per atom
# Energy of formation   -217 meV per atom
data_CaIn2Pb
_chemical_formula_sum 'Ca1 In2 Pb1'
_symmetry_space_group_name_H-M 'P 1'
_symmetry_Int_Tables_number 1
_cell_length_a 3.7945
_cell_length_b 4.4265
_cell_length_c 6.9204
_cell_angle_alpha 90.00
_cell_angle_beta 90.00
_cell_angle_gamma 90.00
loop_
_symmetry_equiv_pos_as_xyz
'x,y,z'
loop_
_atom_site_label
_atom_site_type_symbol
_atom_site_fract_x
_atom_site_fract_y
_atom_site_fract_z
Pb1 Pb 0.5000 0.5000 0.2500
Ca1 Ca 0.5000 0.5000 0.7500
In1 In 0.0000 0.0000 0.0108
In2 In 0.0000 0.0000 0.4892

=====

3.
# Ca2In6GaAg | the Alexandria database | PBE-GGA | relaxed
# Density of states at the Fermi level   0.5142 states/eV per atom
# Energy of formation   -79 meV per atom
data_Ca2In6GaAg
_chemical_formula_sum 'Ca4 In12 Ga2 Ag2'
_symmetry_space_group_name_H-M 'P 1'
_symmetry_Int_Tables_number 1
_cell_length_a 7.3775
_cell_length_b 7.3775
_cell_length_c 12.7877
_cell_angle_alpha 73.23
_cell_angle_beta 73.23
_cell_angle_gamma 60.00
loop_
_symmetry_equiv_pos_as_xyz
'x,y,z'
loop_
_atom_site_label
_atom_site_type_symbol
_atom_site_fract_x
_atom_site_fract_y
_atom_site_fract_z
Ca1 Ca 0.8946 0.8946 0.3163
Ca2 Ca 0.1054 0.1054 0.6837
Ca3 Ca 0.7161 0.7161 0.8517
Ca4 Ca 0.2839 0.2839 0.1483
In1 In 0.9321 0.3359 0.3962
In2 In 0.3359 0.9321 0.3962
In3 In 0.3359 0.3359 0.3962
In4 In 0.0679 0.6641 0.6038
In5 In 0.6641 0.0679 0.6038
In6 In 0.6641 0.6641 0.6038
In7 In 0.6503 0.2264 0.8969
In8 In 0.2264 0.6503 0.8969
In9 In 0.2264 0.2264 0.8969
In10 In 0.3497 0.7736 0.1031
In11 In 0.7736 0.3497 0.1031
In12 In 0.7736 0.7736 0.1031
Ga1 Ga 0.5728 0.5728 0.2817
Ga2 Ga 0.4272 0.4272 0.7183
Ag1 Ag 0.0000 0.0000 0.0000
Ag2 Ag 0.5000 0.5000 0.5000